Entry 1:
Pm2PrHg7 | PBE | optimized geometry

```
data_Pm2PrHg7
_chemical_formula_sum 'Pm2 Pr1 Hg7'
_symmetry_space_group_name_H-M 'P 1'
_symmetry_Int_Tables_number 1
_cell_length_a 5.140
_cell_length_b 5.140
_cell_length_c 12.645
_cell_angle_alpha 90.00
_cell_angle_beta 90.00
_cell_angle_gamma 120.00
loop_
_symmetry_equiv_pos_as_xyz
'x,y,z'
loop_
_atom_site_label
_atom_site_fract_x
_atom_site_fract_y
_atom_site_fract_z
Pm1 0.000 0.000 0.000
Pm2 0.333 0.667 0.664
Pr1 0.667 0.333 0.324
Hg1 0.000 0.000 0.255
Hg2 0.000 0.000 0.747
Hg3 0.333 0.667 0.162
Hg4 0.333 0.667 0.422
Hg5 0.333 0.667 0.906
Hg6 0.667 0.333 0.063
Hg7 0.667 0.333 0.581
```

Results
V = 289.4 Å³/cell
energy relative to the elements = -0.27 eV/atom
energy relative to the lowest polymorph listed for this composition = 56 kJ/mol of formula units
magnetization = 0.0 μB/cell
electronic total energy = -1.9082 eV/atom
SG = P3m1

---

Entry 2:
PmPr7Hg2 | PBE | optimized geometry

```
data_PmPr7Hg2
_chemical_formula_sum 'Pm1 Pr7 Hg2'
_symmetry_space_group_name_H-M 'P 1'
_symmetry_Int_Tables_number 1
_cell_length_a 9.241
_cell_length_b 9.241
_cell_length_c 5.465
_cell_angle_alpha 90.00
_cell_angle_beta 90.00
_cell_angle_gamma 119.42
loop_
_symmetry_equiv_pos_as_xyz
'x,y,z'
loop_
_atom_site_label
_atom_site_fract_x
_atom_site_fract_y
_atom_site_fract_z
Pm1 0.000 0.000 0.000
Pr1 0.063 0.303 0.500
Pr2 0.232 0.768 0.000
Pr3 0.303 0.063 0.500
Pr4 0.500 0.500 0.500
Pr5 0.697 0.937 0.500
Pr6 0.768 0.232 0.000
Pr7 0.937 0.697 0.500
Hg1 0.306 0.694 0.500
Hg2 0.694 0.306 0.500
```

Results
V = 406.5 Å³/cell
energy relative to the elements = 0.24 eV/atom
magnetization = 0.0 μB/cell
electronic total energy = -3.6364 eV/atom
SG = Cmmm

---

Entry 3:
Pm2Pr3Hg7 | PBE | optimized geometry

```
data_Pm2Pr3Hg7
_chemical_formula_sum 'Pm2 Pr3 Hg7'
_symmetry_space_group_name_H-M 'P 1'
_symmetry_Int_Tables_number 1
_cell_length_a 12.086
_cell_length_b 12.086
_cell_length_c 5.639
_cell_angle_alpha 90.00
_cell_angle_beta 90.00
_cell_angle_gamma 154.87
loop_
_symmetry_equiv_pos_as_xyz
'x,y,z'
loop_
_atom_site_label
_atom_site_fract_x
_atom_site_fract_y
_atom_site_fract_z
Pm1 0.142 0.858 0.000
Pm2 0.858 0.142 0.000
Pr1 0.329 0.671 0.500
Pr2 0.500 0.500 0.500
Pr3 0.671 0.329 0.500
Hg1 0.000 0.000 0.000
Hg2 0.085 0.915 0.500
Hg3 0.276 0.724 0.000
Hg4 0.426 0.574 0.000
Hg5 0.574 0.426 0.000
Hg6 0.724 0.276 0.000
Hg7 0.915 0.085 0.500
```

Results
V = 349.8 Å³/cell
energy relative to the elements = -0.34 eV/atom
magnetization = 0.0 μB/cell
electronic total energy = -2.4983 eV/atom
SG = Cmmm

---

Entry 4:
Pm2PrHg7 | PBE | optimized geometry

```
data_Pm2PrHg7
_chemical_formula_sum 'Pm2 Pr1 Hg7'
_symmetry_space_group_name_H-M 'P 1'
_symmetry_Int_Tables_number 1
_cell_length_a 5.081
_cell_length_b 5.081
_cell_length_c 12.289
_cell_angle_alpha 90.00
_cell_angle_beta 90.00
_cell_angle_gamma 120.00
loop_
_symmetry_equiv_pos_as_xyz
'x,y,z'
loop_
_atom_site_label
_atom_site_fract_x
_atom_site_fract_y
_atom_site_fract_z
Pm1 0.000 0.000 0.000
Pm2 0.333 0.667 0.684
Pr1 0.667 0.333 0.321
Hg1 0.000 0.000 0.243
Hg2 0.000 0.000 0.501
Hg3 0.000 0.000 0.756
Hg4 0.333 0.667 0.131
Hg5 0.333 0.667 0.416
Hg6 0.667 0.333 0.593
Hg7 0.667 0.333 0.870
```

Results
V = 274.8 Å³/cell
energy relative to the elements = -0.33 eV/atom
energy relative to the lowest polymorph listed for this composition = 0 kJ/mol of formula units
magnetization = 0.0 μB/cell
electronic total energy = -1.9660 eV/atom
SG = P3m1

---

Entry 5:
PmPr5Hg2 | PBE | optimized geometry

```
data_PmPr5Hg2
_chemical_formula_sum 'Pm2 Pr10 Hg4'
_symmetry_space_group_name_H-M 'P 1'
_symmetry_Int_Tables_number 1
_cell_length_a 3.810
_cell_length_b 10.874
_cell_length_c 12.518
_cell_angle_alpha 90.00
_cell_angle_beta 90.00
_cell_angle_gamma 90.00
loop_
_symmetry_equiv_pos_as_xyz
'x,y,z'
loop_
_atom_site_label
_atom_site_fract_x
_atom_site_fract_y
_atom_site_fract_z
Pm1 0.000 0.000 0.000
Pm2 0.500 0.500 0.500
Pr1 0.000 0.219 0.361
Pr2 0.000 0.219 0.639
Pr3 0.000 0.500 0.000
Pr4 0.000 0.781 0.361
Pr5 0.000 0.781 0.639
Pr6 0.500 0.000 0.500
Pr7 0.500 0.281 0.139
Pr8 0.500 0.281 0.861
Pr9 0.500 0.719 0.139
Pr10 0.500 0.719 0.861
Hg1 0.000 0.500 0.273
Hg2 0.000 0.500 0.727
Hg3 0.500 0.000 0.227
Hg4 0.500 0.000 0.773
```

Results
V = 518.5 Å³/cell
energy relative to the elements = -0.16 eV/atom
magnetization = 0.0 μB/cell
electronic total energy = -3.8160 eV/atom
SG = Immm

---

Entry 6:
Pm2PrHg | PBE | optimized geometry

```
data_Pm2PrHg
_chemical_formula_sum 'Pm8 Pr4 Hg4'
_symmetry_space_group_name_H-M 'P 1'
_symmetry_Int_Tables_number 1
_cell_length_a 7.852
_cell_length_b 7.852
_cell_length_c 7.852
_cell_angle_alpha 90.00
_cell_angle_beta 90.00
_cell_angle_gamma 90.00
loop_
_symmetry_equiv_pos_as_xyz
'x,y,z'
loop_
_atom_site_label
_atom_site_fract_x
_atom_site_fract_y
_atom_site_fract_z
Pm1 0.250 0.250 0.250
Pm2 0.250 0.250 0.750
Pm3 0.250 0.750 0.250
Pm4 0.250 0.750 0.750
Pm5 0.750 0.250 0.250
Pm6 0.750 0.250 0.750
Pm7 0.750 0.750 0.250
Pm8 0.750 0.750 0.750
Pr1 0.000 0.000 0.000
Pr2 0.000 0.500 0.500
Pr3 0.500 0.000 0.500
Pr4 0.500 0.500 0.000
Hg1 0.000 0.000 0.500
Hg2 0.000 0.500 0.000
Hg3 0.500 0.000 0.000
Hg4 0.500 0.500 0.500
```

Results
V = 484.1 Å³/cell
energy relative to the elements = -0.05 eV/atom
energy relative to the lowest polymorph listed for this composition = 71 kJ/mol of formula units
magnetization = 0.0 μB/cell
electronic total energy = -3.6966 eV/atom
SG = Fm-3m